[1]
4
Lattice="4.012 0.000 0.000 2.006 3.474 0.000 2.006 1.158 10.404" Properties=species:S:1:pos:R:3 comment="EuPbBr2, relaxed, DFT PBE" sg="R-3m, No. 166" volume_a3_per_cell=145 raw_formation_energy_ev_per_fu=-4.614 mass_density_g_cm3=5.943 energy_ev_per_atom=-5.49 pbc="T T T"
Br 6.018 3.474 3.294
Br 2.006 1.158 7.110
Pb 0.000 0.000 0.000
Eu 4.012 2.316 5.202

---

[2]
12
Lattice="5.042 0.000 0.000 -2.521 8.269 -2.180 0.000 -0.071 15.040" Properties=species:S:1:pos:R:3 comment="Cs7PtAu4, relaxed, DFT PBE" sg="Cm, No. 8" formation_enthalpy_0k_ev_per_atom=-0.22 volume_a3_per_cell=626 mass_density_g_cm3=5.073 energy_ev_per_atom=-2.31 pbc="T T T"
Au 0.000 4.959 1.474
Au 2.521 3.129 11.386
Au 0.000 1.914 5.814
Au 2.521 8.078 12.830
Cs 0.000 4.542 8.380
Cs 2.521 4.174 4.463
Cs 0.000 0.468 11.484
Cs 2.521 7.580 1.274
Cs 0.000 8.199 5.540
Cs 0.000 5.477 12.763
Cs 2.521 2.494 0.129
Pt 2.521 6.408 6.965

---

[3]
5
Lattice="-0.732 4.790 -1.938 -3.531 0.965 3.720 3.773 1.833 3.105" Properties=species:S:1:pos:R:3 comment="Na3TaOs, relaxed, DFT PBE" sg="Pm-3m, No. 221" formation_enthalpy_0k_ev_per_atom=2.49 volume_a3_per_cell=142 mass_density_g_cm3=5.142 energy_ev_per_atom=-2.92 de_polymorph_kj_per_mol_atoms=0.0 pbc="T T T"
Os 0.000 0.000 0.000
Ta -0.245 3.794 2.443
Na -1.765 0.483 1.860
Na 1.886 0.917 1.553
Na -0.366 2.395 -0.969

---

Number 2 is which compound?
Cs7PtAu4